1.
Compound: LaSmIr
Source: OQMD via LeMat-Bulk
Functional: PBE-GGA
Structure: optimized geometry

The structure belongs to space group F-43m (No. 216); the cell edges are 6.8045, 6.8045 and 6.8045 Å and the angles 90.00°, 90.00° and 90.00°. The asymmetric unit holds La at (0.0000, 0.0000, 0.0000), Sm at (0.2500, 0.2500, 0.7500) and Ir at (0.0000, 0.0000, 0.5000).

Its energy above the most stable polymorph in this dataset is 0.000 eV per atom.



2.
Compound: La5Sn10Ir4
Source: OQMD via LeMat-Bulk
Functional: PBE-GGA
Structure: optimized geometry

The structure belongs to space group P4/mbm (No. 127); the cell edges are 14.2378, 14.2378 and 4.7185 Å and the angles 90.00°, 90.00° and 90.00°. The asymmetric unit holds La at (0.0000, 0.0000, 0.0000), La at (0.1118, 0.3882, 0.5000), La at (0.1766, 0.6766, 0.5000), Sn at (0.0036, 0.8376, 0.5000), Sn at (0.0700, 0.5700, 0.0000), Sn at (0.1552, 0.1979, 0.0000) and Ir at (0.0265, 0.7535, 0.0000).

Its total energy is -227.0 eV/cell.



3.
Compound: LaSnIr
Source: OQMD via LeMat-Bulk
Functional: PBE-GGA
Structure: optimized geometry

The structure belongs to space group P-62m (No. 189); the cell edges are 8.7414, 8.7414 and 3.2749 Å and the angles 90.00°, 90.00° and 120.00°. The asymmetric unit holds La at (0.0000, 0.3055, 0.0000), Sn at (0.0000, 0.0000, 0.5000), Sn at (0.3333, 0.6667, 0.0000) and Ir at (0.0000, 0.5909, 0.5000).

Its total energy is -54.0 eV/cell.



Here are the calculated magnetic moment numbers, same order: 0.0 0.0 0.0 (μB per cell).